Compound: K2NiTe
Source: Alexandria
Functional: PBE
Structure: relaxed

abc: 5.529 4.664 6.130
angles: 90.00 116.77 90.00
Atoms (fractional coordinates):
K 0.000 0.000 0.000
K 0.303 0.500 0.606
Ni 0.677 0.000 0.356
Te 0.620 0.500 0.240

Summary:
Uncorrected formation energy: -366 meV per atom
Space-group type: Pm (6)

***

Compound: DyTl2IrO8
Source: Alexandria
Functional: PBE
Structure: relaxed

abc: 5.055 6.721 5.106
angles: 90.00 91.50 90.00
Atoms (fractional coordinates):
Dy 0.000 0.000 0.000
Tl 0.500 0.251 0.500
Tl 0.500 0.749 0.500
Ir 0.000 0.500 0.000
O 0.189 0.288 0.834
O 0.189 0.712 0.834
O 0.261 0.500 0.287
O 0.291 0.000 0.318
O 0.709 0.000 0.682
O 0.739 0.500 0.713
O 0.811 0.288 0.166
O 0.811 0.712 0.166

Summary:
Uncorrected formation energy: -1108 meV per atom
Space-group type: P2/m (10)